DFT (PBE) results for crystalline SrAl2Zn at its relaxed geometry.

POSCAR file:
```
SrAl2Zn
1.0
4.1799 0.0000 0.0000
0.0000 11.9366 0.0000
0.0000 0.0000 7.3796
Sr Al Zn
4 8 4
Direct
0.0000 0.0495 0.2500
0.0000 0.9505 0.7500
0.5000 0.4505 0.7500
0.5000 0.5495 0.2500
0.0000 0.3322 0.0624
0.0000 0.3322 0.4376
0.0000 0.6678 0.5624
0.0000 0.6678 0.9376
0.5000 0.1678 0.5624
0.5000 0.1678 0.9376
0.5000 0.8322 0.0624
0.5000 0.8322 0.4376
0.0000 0.2306 0.7500
0.0000 0.7694 0.2500
0.5000 0.2694 0.2500
0.5000 0.7306 0.7500
```

Output
As for the space-group type: Cmcm, No. 63. Its calculated formation energy is -0.210 eV per atom. The value obtained for the uncorrected energy is -2.82 eV/atom. As for the crystal system: orthorhombic.